# 1
## TlPPt2 (SCAN)

Data for a crystal of TlPPt2 relaxed with PBEsol.

The space group is Cm (No. 8) and the conventional cell measures 7.973, 3.301 and 5.800 Å, with angles of 90.00, 97.72 and 90.00 degrees. The distinct sites, in fractional coordinates, are Tl at (0.000, 0.000, 0.000), P at (0.213, 0.000, 0.554), Pt at (0.008, 0.500, 0.581) and Pt at (0.251, 0.500, 0.280).

Its relative energy among the computed polymorphs is 0 meV/atom. As for the crystal system: monoclinic. The formation energy is -0.8 eV per formula unit.

# 2
## PPtW2 (SCAN)

Data for a crystal of PPtW2 relaxed with PBEsol.

The space group is Cmm2 (No. 35) and the conventional cell measures 3.402, 4.374 and 8.023 Å, with angles of 90.00, 90.00 and 90.00 degrees. The distinct sites, in fractional coordinates, are P at (0.000, 0.000, 0.000), Pt at (0.000, 0.500, 0.753), W at (0.000, 0.000, 0.495) and W at (0.000, 0.500, 0.228).

As for the crystal system: orthorhombic. The formation energy is 0.9 eV per formula unit.

# 3
## P2PtW (SCAN)

Data for a crystal of P2PtW relaxed with PBEsol.

The space group is Fm-3m (No. 225) and the conventional cell measures 6.041, 6.041 and 6.041 Å, with angles of 90.00, 90.00 and 90.00 degrees. The distinct sites, in fractional coordinates, are P at (0.250, 0.250, 0.250), Pt at (0.000, 0.000, 0.000) and W at (0.000, 0.000, 0.500).

Its relative energy among the computed polymorphs is 513 meV/atom. As for the crystal system: cubic. The formation energy is 0.9 eV per formula unit.

# 4
## P2PtW (SCAN)

Data for a crystal of P2PtW relaxed with PBEsol.

The space group is Amm2 (No. 38) and the conventional cell measures 4.482, 3.590 and 7.993 Å, with angles of 90.00, 90.00 and 90.00 degrees. The distinct sites, in fractional coordinates, are P at (0.000, 0.000, 0.000), P at (0.500, 0.000, 0.177), Pt at (0.500, 0.000, 0.869) and W at (0.000, 0.000, 0.306).

Its relative energy among the computed polymorphs is 0 meV/atom. As for the crystal system: orthorhombic. The formation energy is -1.1 eV per formula unit.

How do the records compare in VASP energy? In the order shown, they have -55.996 -54.767 -39.943 -40.456 eV/atom.